Compound: ZrPa4
Source: the Alexandria database
Functional: PBE
Structure: optimized geometry

Results
For the formation energy, the calculation gives 1.208 eV/atom. For the polymorph energy (0 for the lowest one), the calculation gives 107.05 kJ/mol of atoms. The volume is 30.1 Å³/atom.

Cell: 5.317 5.317 5.317 Å, 90.00 90.00 90.00°
Element x y z (fractional)
Zr  0.000  0.000  0.000
Pa  0.000  0.000  0.500
Pa  0.000  0.500  0.000
Pa  0.500  0.000  0.000
Pa  0.500  0.500  0.500

---

Compound: ZnReMo
Source: the Alexandria database
Functional: PBE
Structure: optimized geometry

Results
For the formation energy, the calculation gives 0.096 eV/atom. For the polymorph energy (0 for the lowest one), the calculation gives 0.00 kJ/mol of atoms. The volume is 15.0 Å³/atom.

Cell: 4.425 4.425 2.663 Å, 90.00 90.00 120.00°
Element x y z (fractional)
Zn  0.000  0.000  0.000
Re  0.333  0.667  0.657
Mo  0.667  0.333  0.391

---

Compound: TlInAg2
Source: the Alexandria database
Functional: PBE
Structure: optimized geometry

Results
For the formation energy, the calculation gives 0.063 eV/atom. The volume is 22.9 Å³/atom.

Cell: 3.480 4.908 5.602 Å, 90.00 106.96 90.00°
Element x y z (fractional)
Tl  0.000  0.000  0.000
In  0.298  0.500  0.623
Ag  0.577  0.500  0.168
Ag  0.722  0.000  0.464

---

Compound: Mg4Pd2Pt5
Source: the Alexandria database
Functional: PBE
Structure: optimized geometry

Results
For the formation energy, the calculation gives -0.397 eV/atom. The volume is 20.3 Å³/atom.

Cell: 9.906 9.105 5.470 Å, 81.52 65.38 33.10°
Element x y z (fractional)
Mg  0.036  0.712  0.288
Mg  0.288  0.964  0.036
Mg  0.712  0.036  0.964
Mg  0.964  0.288  0.712
Pd  0.255  0.255  0.745
Pd  0.745  0.745  0.255
Pt  0.000  0.000  0.000
Pt  0.000  0.000  0.500
Pt  0.250  0.250  0.250
Pt  0.500  0.500  0.000
Pt  0.750  0.750  0.750

---

Compound: KTcAs4
Source: the Alexandria database
Functional: PBE
Structure: optimized geometry

Results
For the formation energy, the calculation gives 0.601 eV/atom. The volume is 21.8 Å³/atom.

Cell: 5.695 5.695 5.695 Å, 60.00 60.00 60.00°
Element x y z (fractional)
K  0.000  0.000  0.000
Tc  0.750  0.750  0.750
As  0.377  0.377  0.377
As  0.377  0.377  0.868
As  0.377  0.868  0.377
As  0.868  0.377  0.377

---

Compound: MgCoAg2
Source: the Alexandria database
Functional: PBE
Structure: optimized geometry

Results
For the formation energy, the calculation gives 0.172 eV/atom. The volume is 16.3 Å³/atom.

Cell: 2.894 3.863 5.820 Å, 90.00 90.00 90.00°
Element x y z (fractional)
Mg  0.000  0.000  0.000
Co  0.000  0.000  0.500
Ag  0.500  0.500  0.261
Ag  0.500  0.500  0.739

---

Compound: TbPm6Mg2
Source: the Alexandria database
Functional: PBE
Structure: optimized geometry

Results
For the formation energy, the calculation gives 0.111 eV/atom. The volume is 32.5 Å³/atom.

Cell: 8.574 8.574 11.923 Å, 122.75 122.75 23.62°
Element x y z (fractional)
Tb  0.000  0.000  0.000
Pm  0.049  0.049  0.749
Pm  0.229  0.229  0.111
Pm  0.373  0.373  0.446
Pm  0.627  0.627  0.554
Pm  0.771  0.771  0.889
Pm  0.951  0.951  0.251
Mg  0.347  0.347  0.709
Mg  0.653  0.653  0.291

---

Compound: NdPu4Pa
Source: the Alexandria database
Functional: PBE
Structure: optimized geometry

Results
For the formation energy, the calculation gives 0.326 eV/atom. The volume is 26.2 Å³/atom.

Cell: 6.058 6.058 6.058 Å, 60.00 60.00 60.00°
Element x y z (fractional)
Nd  0.000  0.000  0.000
Pu  0.377  0.377  0.377
Pu  0.377  0.377  0.870
Pu  0.377  0.870  0.377
Pu  0.870  0.377  0.377
Pa  0.750  0.750  0.750

---

> volume of number 8 (NdPu4Pa)?

26.2 Å³/atom